# 1
Below is a relaxed Ca2Y2Ag crystal, with properties calculated at the PBE-GGA level.

extended XYZ file:
```
10
Lattice="7.587 0.000 0.000 0.000 7.587 0.000 0.000 0.000 5.712" Properties=species:S:1:pos:R:3 pbc="T T T"
Ca 1.154 2.640 0.000
Ca 2.640 6.433 0.000
Ca 4.947 1.154 0.000
Ca 6.433 4.947 0.000
Y 1.253 5.047 2.856
Y 2.540 1.253 2.856
Y 5.047 6.333 2.856
Y 6.333 2.540 2.856
Ag 0.000 0.000 0.000
Ag 3.793 3.793 0.000
```

Results
Polymorph energy (0 for the lowest one): 0.064 eV per atom
Crystal system: tetragonal
Total magnetization: 1.6 μB/f.u.
DFT formation energy: 205 meV/atom

# 2
Below is a relaxed CaYAg2 crystal, with properties calculated at the PBE-GGA level.

extended XYZ file:
```
4
Lattice="5.563 -1.750 0.000 5.563 1.750 0.000 -1.333 0.000 5.112" Properties=species:S:1:pos:R:3 pbc="T T T"
Ca 0.000 0.000 0.000
Y 1.525 0.000 3.165
Ag 4.547 0.000 2.425
Ag 8.155 0.000 0.766
```

Results
Polymorph energy (0 for the lowest one): 0.109 eV per atom
Crystal system: monoclinic
Total magnetization: 0.0 μB/f.u.
DFT formation energy: -214 meV/atom

# 3
Below is a relaxed CaYAg2 crystal, with properties calculated at the PBE-GGA level.

extended XYZ file:
```
4
Lattice="0.000 3.572 3.572 3.572 0.000 3.572 3.572 3.572 0.000" Properties=species:S:1:pos:R:3 pbc="T T T"
Ca 0.000 0.000 0.000
Y 1.786 1.786 1.786
Ag 3.572 3.572 3.572
Ag 5.357 5.357 5.357
```

Results
Polymorph energy (0 for the lowest one): 0.257 eV per atom
Crystal system: cubic
Total magnetization: 0.0 μB/f.u.
DFT formation energy: -66 meV/atom

Question: What is the polymorph energy (0 for the lowest one) in the third record?
Answer: 0.257 eV per atom